1.
This record from Alexandria via LeMat-Bulk describes an optimized crystal structure of La2ReNiN. The functional is PBE.

Properties
SG: P4/mmm
Formation energy without anion corrections (eV per atom): -0.416
DFT total energy (eV for the cell shown): -38.49

Cell: 5.2030 5.2030 3.8547 Å, 90.00 90.00 90.00°
Element x y z (fractional)
Ni 0.5000 0.5000 0.5000
La 0.0000 0.5000 0.0000
La 0.5000 0.0000 0.0000
N 0.0000 0.0000 0.0000
Re 0.0000 0.0000 0.5000

2.
This record from Alexandria via LeMat-Bulk describes an optimized crystal structure of La2NiRuN. The functional is PBE.

Properties
SG: P4/mmm
Formation energy without anion corrections (eV per atom): -0.534
DFT total energy (eV for the cell shown): -35.91
Excess energy over the best structure of this formula in the dataset (meV/atom): 0

Cell: 5.1928 5.1928 3.8124 Å, 90.00 90.00 90.00°
Element x y z (fractional)
Ru 0.0000 0.0000 0.5000
La 0.0000 0.5000 0.0000
La 0.5000 0.0000 0.0000
Ni 0.5000 0.5000 0.5000
N 0.0000 0.0000 0.0000

3.
This record from Alexandria via LeMat-Bulk describes an optimized crystal structure of La2NiRuN. The functional is PBE.

Properties
SG: P4/mmm
Formation energy without anion corrections (eV per atom): -0.493
DFT total energy (eV for the cell shown): -35.70
Excess energy over the best structure of this formula in the dataset (meV/atom): 40

Cell: 5.1966 5.1966 3.5790 Å, 90.00 90.00 90.00°
Element x y z (fractional)
La 0.0000 0.5000 0.0000
La 0.5000 0.0000 0.0000
Ru 0.5000 0.5000 0.5000
N 0.0000 0.0000 0.0000
Ni 0.0000 0.0000 0.5000

What did the second record say?
This record from Alexandria via LeMat-Bulk describes an optimized crystal structure of La2NiRuN. The functional is PBE.

Properties
SG: P4/mmm
Formation energy without anion corrections (eV per atom): -0.534
DFT total energy (eV for the cell shown): -35.91
Excess energy over the best structure of this formula in the dataset (meV/atom): 0

Cell: 5.1928 5.1928 3.8124 Å, 90.00 90.00 90.00°
Element x y z (fractional)
Ru 0.0000 0.0000 0.5000
La 0.0000 0.5000 0.0000
La 0.5000 0.0000 0.0000
Ni 0.5000 0.5000 0.5000
N 0.0000 0.0000 0.0000